Material: Mn3WO6
Method: DFT, PBE with a Hubbard U
State: optimized geometry

Values from the calculation:
Energy   -7.786 eV per atom
Crystal system   trigonal
Polymorph energy (0 for the lowest one)   0.0000 eV per atom

```
20
Lattice="6.310 0.000 0.000 -0.138 6.309 0.000 -0.138 -0.141 6.307" Properties=species:S:1:pos:R:3 pbc="T T T"
Mn 4.543 2.661 5.925
Mn 2.562 5.821 4.731
Mn 1.492 3.506 0.382
Mn 0.271 1.498 3.514
Mn 3.473 0.347 1.576
Mn 5.764 4.670 2.793
W 0.000 0.000 0.000
W 3.017 3.084 3.153
O 5.750 4.441 0.417
O 4.315 0.287 5.854
O 0.192 5.756 4.450
O 0.284 1.726 5.890
O 1.720 5.881 0.453
O 5.842 0.412 1.857
O 2.640 3.609 5.002
O 3.551 4.940 2.829
O 1.173 3.421 2.587
O 2.484 1.228 3.478
O 3.395 2.559 1.305
O 4.861 2.747 3.720
```